(1)
Compound: Ba2Li12MgZn3
Source: the Alexandria database
Functional: PBE-GGA
Structure: relaxed

Results
**Space-group type**: R-3m, No. 166
**Raw total energy**: -31.161 eV/cell
**ρ**: 2.3 Mg/m³

Unit cell a=7.5232 b=7.5232 c=7.5232 alpha=84.83 beta=84.83 gamma=84.83
Last column: nearest neighbours and their distance in Å.
Fractional coordinates of all 18 atoms:
1 Ba 0.2432 0.2432 0.2432  3 Zn 3.20, 6 Li 3.34-3.48
2 Ba 0.7568 0.7568 0.7568  3 Zn 3.20, 6 Li 3.34-3.48
3 Li 0.0856 0.0856 0.6503  6 Li 2.80-3.13
4 Li 0.0856 0.6503 0.0856  6 Li 2.80-3.13
5 Li 0.2201 0.6885 0.6885  1 Mg 2.78, 5 Li 2.80-3.06, 1 Zn 2.82
6 Li 0.3115 0.3115 0.7799  1 Mg 2.78, 5 Li 2.80-3.06, 1 Zn 2.82
7 Li 0.3115 0.7799 0.3115  1 Mg 2.78, 5 Li 2.80-3.06, 1 Zn 2.82
8 Li 0.3497 0.9144 0.9144  6 Li 2.80-3.13
9 Li 0.6503 0.0856 0.0856  6 Li 2.80-3.13
10 Li 0.6885 0.2201 0.6885  1 Mg 2.78, 5 Li 2.80-3.06, 1 Zn 2.82
11 Li 0.6885 0.6885 0.2201  1 Mg 2.78, 5 Li 2.80-3.06, 1 Zn 2.82
12 Li 0.7799 0.3115 0.3115  1 Mg 2.78, 5 Li 2.80-3.06, 1 Zn 2.82
13 Li 0.9144 0.3497 0.9144  6 Li 2.80-3.13
14 Li 0.9144 0.9144 0.3497  6 Li 2.80-3.13
15 Mg 0.5000 0.5000 0.5000  6 Li 2.78
16 Zn 0.0000 0.5000 0.5000  2 Li 2.82
17 Zn 0.5000 0.0000 0.5000  2 Li 2.82
18 Zn 0.5000 0.5000 0.0000  2 Li 2.82

(2)
Compound: CuHgS2O8
Source: the Alexandria database
Functional: PBE-GGA
Structure: relaxed

Results
**Space-group type**: R-3, No. 148
**Raw total energy**: -63.327 eV/cell
**ρ**: 5.3 Mg/m³

Unit cell a=7.8036 b=7.8036 c=7.8036 alpha=35.47 beta=35.47 gamma=35.47
Last column: nearest neighbours and their distance in Å.
Fractional coordinates of all 12 atoms:
1 Cu 0.0000 0.0000 0.0000  6 O 2.08
2 Hg 0.5000 0.5000 0.5000  12 O 2.77-2.92
3 S 0.2543 0.2543 0.2543  4 O 1.49-1.52
4 S 0.7457 0.7457 0.7457  4 O 1.49-1.52
5 O 0.0190 0.4222 0.7345  1 S 1.49
6 O 0.1850 0.1850 0.1850  1 S 1.52
7 O 0.2655 0.9810 0.5778  1 S 1.49
8 O 0.4222 0.7345 0.0190  1 S 1.49
9 O 0.5778 0.2655 0.9810  1 S 1.49
10 O 0.7345 0.0190 0.4222  1 S 1.49
11 O 0.8150 0.8150 0.8150  1 S 1.52
12 O 0.9810 0.5778 0.2655  1 S 1.49

(3)
Compound: YHo3S
Source: the Alexandria database
Functional: PBE-GGA
Structure: relaxed

Results
**Space-group type**: Pm-3m, No. 221
**Raw total energy**: -27.563 eV/cell
**ρ**: 7.0 Mg/m³

Unit cell a=5.2760 b=5.2760 c=5.2760 alpha=90.00 beta=90.00 gamma=90.00
Last column: nearest neighbours and their distance in Å.
Fractional coordinates of all 5 atoms:
1 Y 0.0000 0.0000 0.0000  12 Ho 3.73
2 Ho 0.0000 0.5000 0.5000  2 S 2.64
3 Ho 0.5000 0.0000 0.5000  2 S 2.64
4 Ho 0.5000 0.5000 0.0000  2 S 2.64
5 S 0.5000 0.5000 0.5000  6 Ho 2.64

(4)
Compound: MgTaTl
Source: the Alexandria database
Functional: PBE-GGA
Structure: relaxed

Results
**Space-group type**: F-43m, No. 216
**Raw total energy**: -12.648 eV/cell
**ρ**: 9.0 Mg/m³

Unit cell a=4.7475 b=4.7475 c=4.7475 alpha=60.00 beta=60.00 gamma=60.00
Last column: nearest neighbours and their distance in Å.
Fractional coordinates of all 3 atoms:
1 Mg 0.0000 0.0000 0.0000  4 Ta 2.91
2 Ta 0.2500 0.2500 0.2500  4 Tl 2.91, 4 Mg 2.91
3 Tl 0.5000 0.5000 0.5000  4 Ta 2.91

(5)
Compound: Tl2NiBr
Source: the Alexandria database
Functional: PBE-GGA
Structure: relaxed

Results
**Energy above the lowest structure with this stoichiometry**: 0.105 eV per atom
**Space-group type**: I-42d, No. 122
**Raw total energy**: -23.808 eV/cell
**ρ**: 6.5 Mg/m³

Unit cell a=8.1495 b=8.1495 c=8.1495 alpha=133.46 beta=133.46 gamma=67.93
Last column: nearest neighbours and their distance in Å.
Fractional coordinates of all 8 atoms:
1 Tl 0.0335 0.6250 0.9085  2 Ni 2.55
2 Tl 0.3750 0.2835 0.4085  2 Ni 2.55
3 Tl 0.7165 0.1250 0.0915  2 Ni 2.55
4 Tl 0.8750 0.9665 0.5915  2 Ni 2.55
5 Ni 0.0000 0.0000 0.0000  4 Tl 2.55
6 Ni 0.7500 0.2500 0.5000  4 Tl 2.55
7 Br 0.2500 0.7500 0.5000  4 Tl 3.21
8 Br 0.5000 0.5000 0.0000  4 Tl 3.21

(6)
Compound: LiZrPb2
Source: the Alexandria database
Functional: PBE-GGA
Structure: relaxed

Results
**Space-group type**: Pmm2, No. 25
**Raw total energy**: -18.051 eV/cell
**ρ**: 8.8 Mg/m³

Unit cell a=3.5766 b=4.4323 c=6.1345 alpha=90.00 beta=90.00 gamma=90.00
Last column: nearest neighbours and their distance in Å.
Fractional coordinates of all 4 atoms:
1 Li 0.0000 0.0000 0.0000  6 Pb 2.89-3.24
2 Zr 0.5000 0.5000 0.7133  6 Pb 2.97-3.17
3 Pb 0.0000 0.0000 0.5283  2 Li 2.89-3.24, 4 Zr 3.07
4 Pb 0.5000 0.5000 0.1968  2 Zr 2.97-3.17, 4 Li 3.09

Question: Among the records above, which one has the lowest raw total energy?
Answer: CuHgS2O8